(i)
OsPt5 (PBE, relaxed); density = 20.9 g/cm3; volume = 92.6 Å³/f.u.; density of states at the Fermi level = 1.483 states/eV/atom
1.0
1.972 -5.967 0.000
1.972 5.967 0.000
0.000 0.000 3.933
Os Pt
1 5
Direct
0.000 0.000 0.000
0.163 0.837 0.500
0.338 0.662 0.000
0.500 0.500 0.500
0.662 0.338 0.000
0.837 0.163 0.500

=====

(ii)
OsPt5 (PBE, relaxed); density = 20.8 g/cm3; volume = 93.0 Å³/f.u.; density of states at the Fermi level = 1.597 states/eV/atom
1.0
5.230 -1.388 0.000
5.230 1.388 0.000
-1.878 0.000 6.404
Os Pt
1 5
Direct
0.000 0.000 0.000
0.056 0.056 0.618
0.336 0.336 0.676
0.396 0.396 0.272
0.667 0.667 0.331
0.719 0.719 0.951

=====

(iii)
OsPt5 (PBE, relaxed); density = 20.8 g/cm3; volume = 93.1 Å³/f.u.; density of states at the Fermi level = 1.695 states/eV/atom
1.0
2.788 0.000 0.000
-1.394 2.414 0.000
0.000 0.000 13.838
Os Pt
1 5
Direct
0.000 0.000 0.000
0.000 0.000 0.329
0.000 0.000 0.671
0.667 0.333 0.158
0.667 0.333 0.500
0.667 0.333 0.842

=====

Which is most stable? The ranking, best first, is (i), (iii), (ii).

=====

(i)
OsPt5 (PBE, relaxed); density = 18.4 g/cm3; volume = 105.2 Å³/f.u.; density of states at the Fermi level = 0.928 states/eV/atom
1.0
5.157 0.000 0.000
-2.579 4.466 0.000
0.000 0.000 4.569
Os Pt
1 5
Direct
0.000 0.000 0.000
0.000 0.500 0.500
0.333 0.667 0.000
0.500 0.000 0.500
0.500 0.500 0.500
0.667 0.333 0.000

=====

(ii)
OsPt5 (PBE, relaxed); density = 19.4 g/cm3; volume = 99.7 Å³/f.u.; density of states at the Fermi level = 0.845 states/eV/atom
1.0
0.000 3.680 3.680
3.680 0.000 3.680
3.680 3.680 0.000
Os Pt
1 5
Direct
0.000 0.000 0.000
0.125 0.625 0.625
0.250 0.250 0.250
0.625 0.125 0.625
0.625 0.625 0.125
0.625 0.625 0.625

=====

Which is most stable? The ranking, best first, is (ii), (i).

=====

(i)
Os5Pt (PBE, relaxed); density = 21.9 g/cm3; volume = 86.9 Å³/f.u.; density of states at the Fermi level = 0.680 states/eV/atom
1.0
4.378 0.000 0.000
0.000 1.382 7.180
0.000 -1.382 7.180
Os Pt
5 1
Direct
0.000 0.000 0.000
0.000 0.331 0.331
0.000 0.664 0.664
0.500 0.113 0.113
0.500 0.772 0.772
0.500 0.443 0.443

=====

(ii)
Os5Pt (PBE, relaxed); density = 19.2 g/cm3; volume = 99.1 Å³/f.u.; density of states at the Fermi level = 1.634 states/eV/atom
1.0
5.015 0.000 0.000
-2.508 4.343 0.000
0.000 0.000 4.551
Os Pt
5 1
Direct
0.000 0.500 0.000
0.333 0.667 0.500
0.500 0.000 0.000
0.500 0.500 0.000
0.667 0.333 0.500
0.000 0.000 0.500

=====

Which is most stable? The ranking, best first, is (i), (ii).